{
  "formula": "Mg5Ga2Ag",
  "functional": "PBE-GGA",
  "state": "optimized geometry",
  "cell": [[5.939, 0.000, 0.000], [0.000, 11.974, 0.000], [0.000, 0.000, 4.474]],
  "species": ["Mg", "Mg", "Mg", "Mg", "Mg", "Mg", "Mg", "Mg", "Mg", "Mg", "Ga", "Ga", "Ga", "Ga", "Ag", "Ag"],
  "frac_coords": [[0.000, 0.000, 0.000], [0.091, 0.264, 0.000], [0.184, 0.608, 0.500], [0.316, 0.108, 0.500], [0.409, 0.764, 0.000], [0.500, 0.500, 0.000], [0.591, 0.236, 0.000], [0.684, 0.892, 0.500], [0.816, 0.392, 0.500], [0.909, 0.736, 0.000], [0.167, 0.859, 0.500], [0.333, 0.359, 0.500], [0.667, 0.641, 0.500], [0.833, 0.141, 0.500], [0.000, 0.500, 0.000], [0.500, 0.000, 0.000]],
  "delta_e_f_mev_per_atom": -136,
  "spacegroup": "Pbam (55)",
  "polymorph_energy_ev_per_fu": 0.00
}



{
  "formula": "Mg2Ga3Ag7",
  "functional": "PBE-GGA",
  "state": "optimized geometry",
  "cell": [[5.112, 0.000, 0.000], [0.000, 3.021, 0.000], [-0.625, 0.000, 14.385]],
  "species": ["Mg", "Mg", "Ga", "Ga", "Ga", "Ag", "Ag", "Ag", "Ag", "Ag", "Ag", "Ag"],
  "frac_coords": [[0.195, 0.000, 0.336], [0.805, 0.000, 0.664], [0.321, 0.500, 0.691], [0.500, 0.000, 0.000], [0.679, 0.500, 0.309], [0.000, 0.500, 0.000], [0.156, 0.000, 0.839], [0.253, 0.000, 0.537], [0.335, 0.500, 0.164], [0.665, 0.500, 0.836], [0.747, 0.000, 0.463], [0.844, 0.000, 0.161]],
  "delta_e_f_mev_per_atom": -15,
  "spacegroup": "P2/m (10)"
}



{
  "formula": "MgGa12Ag7",
  "functional": "PBE-GGA",
  "state": "optimized geometry",
  "cell": [[5.311, 3.066, 3.844], [-5.311, 3.066, 3.844], [0.000, -6.133, 3.844]],
  "species": ["Mg", "Ga", "Ga", "Ga", "Ga", "Ga", "Ga", "Ga", "Ga", "Ga", "Ga", "Ga", "Ga", "Ag", "Ag", "Ag", "Ag", "Ag", "Ag", "Ag"],
  "frac_coords": [[0.000, 0.000, 0.000], [0.115, 0.249, 0.731], [0.153, 0.613, 0.499], [0.249, 0.731, 0.115], [0.269, 0.885, 0.751], [0.387, 0.501, 0.847], [0.499, 0.153, 0.613], [0.501, 0.847, 0.387], [0.613, 0.499, 0.153], [0.731, 0.115, 0.249], [0.751, 0.269, 0.885], [0.847, 0.387, 0.501], [0.885, 0.751, 0.269], [0.062, 0.381, 0.161], [0.161, 0.062, 0.381], [0.381, 0.161, 0.062], [0.500, 0.500, 0.500], [0.619, 0.839, 0.938], [0.839, 0.938, 0.619], [0.938, 0.619, 0.839]],
  "delta_e_f_mev_per_atom": 51,
  "spacegroup": "R-3 (148)"
}



{
  "formula": "Mg4Ga3Ag",
  "functional": "PBE-GGA",
  "state": "optimized geometry",
  "cell": [[10.033, 0.000, 0.000], [0.000, 6.022, 0.000], [0.000, 0.000, 5.036]],
  "species": ["Mg", "Mg", "Mg", "Mg", "Mg", "Mg", "Mg", "Mg", "Ga", "Ga", "Ga", "Ga", "Ga", "Ga", "Ag", "Ag"],
  "frac_coords": [[0.000, 0.250, 0.000], [0.000, 0.750, 0.000], [0.250, 0.249, 0.402], [0.250, 0.751, 0.402], [0.500, 0.250, 0.000], [0.500, 0.750, 0.000], [0.750, 0.249, 0.598], [0.750, 0.751, 0.598], [0.000, 0.500, 0.500], [0.250, 0.000, 0.900], [0.250, 0.500, 0.895], [0.500, 0.500, 0.500], [0.750, 0.000, 0.100], [0.750, 0.500, 0.105], [0.000, 0.000, 0.500], [0.500, 0.000, 0.500]],
  "delta_e_f_mev_per_atom": -152,
  "spacegroup": "Pmma (51)"
}



{
  "formula": "MgGaAg4",
  "functional": "PBE-GGA",
  "state": "optimized geometry",
  "cell": [[3.137, 0.000, 0.000], [0.000, 3.137, 0.000], [0.000, 0.000, 10.900]],
  "species": ["Mg", "Ga", "Ag", "Ag", "Ag", "Ag"],
  "frac_coords": [[0.000, 0.000, 0.000], [0.500, 0.500, 0.500], [0.000, 0.000, 0.340], [0.000, 0.000, 0.660], [0.500, 0.500, 0.166], [0.500, 0.500, 0.834]],
  "delta_e_f_mev_per_atom": -73,
  "spacegroup": "P4/mmm (123)",
  "polymorph_energy_ev_per_fu": 0.00
}



{
  "formula": "Mg4Ga5Ag",
  "functional": "PBE-GGA",
  "state": "optimized geometry",
  "cell": [[-4.206, 4.206, 2.900], [4.206, -4.206, 2.900], [4.206, 4.206, -2.900]],
  "species": ["Mg", "Mg", "Mg", "Mg", "Ga", "Ga", "Ga", "Ga", "Ga", "Ag"],
  "frac_coords": [[0.056, 0.688, 0.744], [0.312, 0.056, 0.369], [0.688, 0.944, 0.631], [0.944, 0.312, 0.256], [0.263, 0.405, 0.669], [0.405, 0.735, 0.141], [0.594, 0.263, 0.859], [0.735, 0.594, 0.331], [0.765, 0.765, 0.000], [0.206, 0.206, 0.000]],
  "delta_e_f_mev_per_atom": -49,
  "spacegroup": "I4 (79)",
  "polymorph_energy_ev_per_fu": 0.53
}